[1]
DFT (GGA-PBE) results for a relaxed structure of Pm3SiIr.

Computed properties:
Excess energy over the best structure of this formula in the dataset ... 0 meV/atom

a b c (Å): 4.2014 9.0651 6.7686
angles (deg): 90.00 90.00 90.00
Last column: nearest neighbours and their distance in Å.
Sites, in units of the cell vectors:
Pm 0.2500 0.0529 0.2443  2 Ir 2.97, 3 Si 3.11-3.32
Pm 0.2500 0.2500 0.7150  2 Ir 2.96, 2 Si 3.00
Pm 0.2500 0.4471 0.2443  2 Ir 2.97, 3 Si 3.11-3.32
Pm 0.7500 0.5529 0.7557  2 Ir 2.97, 3 Si 3.11-3.32
Pm 0.7500 0.7500 0.2850  2 Ir 2.96, 2 Si 3.00
Pm 0.7500 0.9471 0.7557  2 Ir 2.97, 3 Si 3.11-3.32
Si 0.2500 0.7500 0.9681  1 Ir 2.54
Si 0.7500 0.2500 0.0319  1 Ir 2.54
Ir 0.2500 0.7500 0.5923  1 Si 2.54
Ir 0.7500 0.2500 0.4077  1 Si 2.54

***

[2]
DFT (GGA-PBE) results for a relaxed structure of Pm4GeSe.

Computed properties:
Electronic total energy ... -5.313 eV per atom

a b c (Å): 9.0314 9.0314 7.1201
angles (deg): 104.63 104.63 126.85
Last column: nearest neighbours and their distance in Å.
Sites, in units of the cell vectors:
Pm 0.0466 0.4403 0.2413  1 Ge 2.90, 1 Se 2.94
Pm 0.1901 0.3190 0.7494  2 Se 2.92-2.94, 2 Ge 2.93-2.94
Pm 0.3190 0.1901 0.2494  2 Se 2.92-2.94, 2 Ge 2.93-2.94
Pm 0.4403 0.0466 0.7413  1 Ge 2.90, 1 Se 2.94
Pm 0.5597 0.9534 0.2587  1 Ge 2.90, 1 Se 2.94
Pm 0.6810 0.8099 0.7506  2 Se 2.92-2.94, 2 Ge 2.93-2.94
Pm 0.8099 0.6810 0.2506  2 Se 2.92-2.94, 2 Ge 2.93-2.94
Pm 0.9534 0.5597 0.7587  1 Ge 2.90, 1 Se 2.94
Ge 0.4308 0.5692 0.2500  6 Pm 2.90-2.94
Ge 0.5692 0.4308 0.7500  6 Pm 2.90-2.94
Se 0.0636 0.9364 0.7500  6 Pm 2.92-2.94
Se 0.9364 0.0636 0.2500  6 Pm 2.92-2.94

***

[3]
DFT (GGA-PBE) results for a relaxed structure of Pt5W4.

Computed properties:
E_form ... -27 meV per atom
Excess energy over the best structure of this formula in the dataset ... 138 meV/atom

a b c (Å): 7.7635 7.7635 5.5276
angles (deg): 90.00 90.00 120.00
Last column: nearest neighbours and their distance in Å.
Sites, in units of the cell vectors:
Pt 0.0000 0.3332 0.2500  5 W 2.55-2.76
Pt 0.0000 0.6668 0.7500  5 W 2.55-2.76
Pt 0.3332 0.0000 0.2500  5 W 2.55-2.76
Pt 0.3332 0.3332 0.7500  5 W 2.55-2.76
Pt 0.3333 0.6667 0.0000  8 Pt 2.76-2.93, 6 W 2.96
Pt 0.3333 0.6667 0.5000  8 Pt 2.76-2.93, 6 W 2.96
Pt 0.6668 0.0000 0.7500  5 W 2.55-2.76
Pt 0.6667 0.3333 0.0000  8 Pt 2.76-2.93, 6 W 2.96
Pt 0.6667 0.3333 0.5000  8 Pt 2.76-2.93, 6 W 2.96
Pt 0.6668 0.6668 0.2500  5 W 2.55-2.76
W 0.0000 0.0000 0.0000  8 W 2.76-2.87, 6 Pt 2.93
W 0.0000 0.0000 0.5000  8 W 2.76-2.87, 6 Pt 2.93
W 0.0000 0.3246 0.7500  5 Pt 2.55-2.76
W 0.0000 0.6754 0.2500  5 Pt 2.55-2.76
W 0.3246 0.0000 0.7500  5 Pt 2.55-2.76
W 0.3246 0.3246 0.2500  5 Pt 2.55-2.76
W 0.6754 0.0000 0.2500  5 Pt 2.55-2.76
W 0.6754 0.6754 0.7500  5 Pt 2.55-2.76

***

[4]
DFT (GGA-PBE) results for a relaxed structure of RbTaGeO5.

Computed properties:
Excess energy over the best structure of this formula in the dataset ... 0 meV/atom

a b c (Å): 7.5413 10.5170 20.9144
angles (deg): 90.00 90.00 90.00
Last column: nearest neighbours and their distance in Å.
Sites, in units of the cell vectors:
Rb 0.1946 0.1101 0.4853  6 O 3.04-3.34
Rb 0.2399 0.8783 0.6479  7 O 2.96-3.22
Rb 0.2466 0.8245 0.3406  5 O 3.01-3.29
Rb 0.2534 0.1755 0.8406  5 O 3.01-3.29
Rb 0.2601 0.1217 0.1479  7 O 2.96-3.22
Rb 0.3054 0.8899 0.9853  6 O 3.04-3.34
Rb 0.6946 0.3899 0.5147  6 O 3.04-3.34
Rb 0.7399 0.6217 0.3521  7 O 2.96-3.22
Rb 0.7466 0.6755 0.6594  5 O 3.01-3.29
Rb 0.7534 0.3245 0.1594  5 O 3.01-3.29
Rb 0.7601 0.3783 0.8521  7 O 2.96-3.22
Rb 0.8054 0.6101 0.0147  6 O 3.04-3.34
Ta 0.0060 0.2569 0.9993  6 O 1.95-2.05
Ta 0.2284 0.4849 0.4258  6 O 1.92-2.11
Ta 0.2383 0.5197 0.5999  6 O 1.94-2.06
Ta 0.2617 0.4803 0.0999  6 O 1.94-2.06
Ta 0.2716 0.5151 0.9258  6 O 1.92-2.11
Ta 0.4940 0.7431 0.4993  6 O 1.95-2.05
Ta 0.5060 0.2431 0.0007  6 O 1.95-2.05
Ta 0.7284 0.0151 0.5742  6 O 1.92-2.11
Ta 0.7383 0.9803 0.4001  6 O 1.94-2.06
Ta 0.7617 0.0197 0.9001  6 O 1.94-2.06
Ta 0.7716 0.9849 0.0742  6 O 1.92-2.11
Ta 0.9940 0.7569 0.5007  6 O 1.95-2.05
Ge 0.0050 0.7518 0.8536  4 O 1.73-1.79
Ge 0.0876 0.7777 0.1480  4 O 1.73-1.79
Ge 0.2202 0.3828 0.2690  4 O 1.73-1.80
Ge 0.2798 0.6172 0.7690  4 O 1.73-1.80
Ge 0.4124 0.2223 0.6480  4 O 1.73-1.79
Ge 0.4950 0.2482 0.3536  4 O 1.73-1.79
Ge 0.5050 0.7482 0.1464  4 O 1.73-1.79
Ge 0.5876 0.7223 0.8520  4 O 1.73-1.79
Ge 0.7202 0.1172 0.7310  4 O 1.73-1.80
Ge 0.7798 0.8828 0.2310  4 O 1.73-1.80
Ge 0.9124 0.2777 0.3520  4 O 1.73-1.79
Ge 0.9950 0.2518 0.6464  4 O 1.73-1.79
O 0.0063 0.3078 0.2747  2 Ge 1.79-1.80
O 0.0083 0.3731 0.4107  1 Ge 1.74
O 0.0301 0.4112 0.6295  1 Ge 1.73
O 0.0628 0.3767 0.0701  2 Ta 1.96-1.99
O 0.0660 0.6274 0.4351  2 Ta 1.94-2.01
O 0.0679 0.6496 0.5754  2 Ta 1.94-2.01
O 0.0717 0.3983 0.9377  2 Ta 1.96-2.03
O 0.0831 0.6185 0.1264  1 Ge 1.73
O 0.1169 0.6756 0.9158  1 Ge 1.75
O 0.1228 0.7442 0.7797  2 Ge 1.78-1.80
O 0.1930 0.1617 0.6601  2 Ge 1.79
O 0.2231 0.4401 0.5146  2 Ta 1.92-1.97
O 0.2397 0.4112 0.1880  1 Ge 1.73
O 0.2460 0.1871 0.9979  2 Ta 1.95-2.05
O 0.2470 0.5037 0.3258  1 Ge 1.75
O 0.2530 0.4963 0.8258  1 Ge 1.75
O 0.2540 0.8129 0.4979  2 Ta 1.95-2.05
O 0.2603 0.5888 0.6880  1 Ge 1.73
O 0.2769 0.5599 0.0146  2 Ta 1.92-1.97
O 0.3070 0.8383 0.1601  2 Ge 1.79
O 0.3772 0.2558 0.2797  2 Ge 1.78-1.80
O 0.3831 0.3244 0.4158  1 Ge 1.75
O 0.4169 0.3815 0.6264  1 Ge 1.73
O 0.4283 0.6017 0.4377  2 Ta 1.96-2.03
O 0.4321 0.3504 0.0754  2 Ta 1.94-2.01
O 0.4340 0.3726 0.9351  2 Ta 1.94-2.01
O 0.4372 0.6233 0.5701  2 Ta 1.96-1.99
O 0.4699 0.5888 0.1295  1 Ge 1.73
O 0.4917 0.6269 0.9107  1 Ge 1.74
O 0.4937 0.6922 0.7747  2 Ge 1.79-1.80
O 0.5063 0.1922 0.7253  2 Ge 1.79-1.80
O 0.5083 0.1269 0.5893  1 Ge 1.74
O 0.5301 0.0888 0.3705  1 Ge 1.73
O 0.5628 0.1233 0.9299  2 Ta 1.96-1.99
O 0.5660 0.8726 0.5649  2 Ta 1.94-2.01
O 0.5679 0.8504 0.4246  2 Ta 1.94-2.01
O 0.5717 0.1017 0.0623  2 Ta 1.96-2.03
O 0.5831 0.8815 0.8736  1 Ge 1.73
O 0.6169 0.8244 0.0842  1 Ge 1.75
O 0.6228 0.7558 0.2203  2 Ge 1.78-1.80
O 0.6930 0.3383 0.3399  2 Ge 1.79
O 0.7231 0.0599 0.4854  2 Ta 1.92-1.97
O 0.7397 0.0888 0.8120  1 Ge 1.73
O 0.7460 0.3129 0.0021  2 Ta 1.95-2.05
O 0.7470 0.9963 0.6742  1 Ge 1.75
O 0.7530 0.0037 0.1742  1 Ge 1.75
O 0.7540 0.6871 0.5021  2 Ta 1.95-2.05
O 0.7603 0.9112 0.3120  1 Ge 1.73
O 0.7769 0.9401 0.9854  2 Ta 1.92-1.97
O 0.8070 0.6617 0.8399  2 Ge 1.79
O 0.8772 0.2442 0.7203  2 Ge 1.78-1.80
O 0.8831 0.1756 0.5842  1 Ge 1.75
O 0.9169 0.1185 0.3736  1 Ge 1.73
O 0.9283 0.8983 0.5623  2 Ta 1.96-2.03
O 0.9321 0.1496 0.9246  2 Ta 1.94-2.01
O 0.9340 0.1274 0.0649  2 Ta 1.94-2.01
O 0.9372 0.8767 0.4299  2 Ta 1.96-1.99
O 0.9699 0.9112 0.8705  1 Ge 1.73
O 0.9917 0.8731 0.0893  1 Ge 1.74
O 0.9937 0.8078 0.2253  2 Ge 1.79-1.80

***

[5]
DFT (GGA-PBE) results for a relaxed structure of LiYCl2.

Computed properties:
Excess energy over the best structure of this formula in the dataset ... 290 meV/atom

a b c (Å): 7.3334 7.3334 7.3334
angles (deg): 153.67 143.98 45.17
Last column: nearest neighbours and their distance in Å.
Sites, in units of the cell vectors:
Li 0.0000 0.0000 0.0000  4 Cl 3.08, 2 Li 3.34
Y 0.2373 0.7373 0.5000  6 Cl 2.83-2.85
Cl 0.4082 0.4082 0.0000  2 Y 2.85, 4 Li 3.08
Cl 0.7196 0.2196 0.5000  4 Y 2.83

***

[6]
DFT (GGA-PBE) results for a relaxed structure of CsRb2SrAg.

Computed properties:
E_form ... 73 meV per atom

a b c (Å): 7.1951 7.1951 6.5004
angles (deg): 90.00 90.00 90.00
Last column: nearest neighbours and their distance in Å.
Sites, in units of the cell vectors:
Cs 0.0000 0.0000 0.0000  8 Rb 4.85, 4 Sr 5.09
Rb 0.0000 0.5000 0.5000  2 Ag 3.60
Rb 0.5000 0.0000 0.5000  2 Ag 3.60
Sr 0.5000 0.5000 0.0000  2 Ag 3.25
Ag 0.5000 0.5000 0.5000  2 Sr 3.25, 4 Rb 3.60

***

[7]
DFT (GGA-PBE) results for a relaxed structure of La3Zr.

Computed properties:
E_form ... 115 meV per atom

a b c (Å): 3.5376 3.5376 10.3584
angles (deg): 90.00 90.00 90.00
Last column: nearest neighbours and their distance in Å.
Sites, in units of the cell vectors:
La 0.0000 0.0000 0.0000  12 La 3.54-3.78
La 0.5000 0.5000 0.2734  4 Zr 3.43, 8 La 3.54-3.78
La 0.5000 0.5000 0.7266  4 Zr 3.43, 8 La 3.54-3.78
Zr 0.0000 0.0000 0.5000  8 La 3.43, 4 Zr 3.54

***

[8]
DFT (GGA-PBE) results for a relaxed structure of PmAuO.

Computed properties:
Excess energy over the best structure of this formula in the dataset ... 0 meV/atom

a b c (Å): 3.9860 3.9860 7.4067
angles (deg): 90.00 90.00 90.00
Last column: nearest neighbours and their distance in Å.
Sites, in units of the cell vectors:
Pm 0.2500 0.2500 0.1592  4 O 2.32
Pm 0.7500 0.7500 0.8408  4 O 2.32
Au 0.2500 0.2500 0.5829  4 Au 3.07, 5 Pm 3.14-3.40
Au 0.7500 0.7500 0.4171  4 Au 3.07, 5 Pm 3.14-3.40
O 0.2500 0.7500 0.0000  4 Pm 2.32
O 0.7500 0.2500 0.0000  4 Pm 2.32

***

Summary of Fermi-level density of states in states/eV per atom
0.893; 0.999; 0.860; 0.000; 0.510; 0.946; 1.722; 0.110
(order as listed above)